# La4Nd7Sc

A relaxed La4Nd7Sc crystal (PBE, Alexandria via LeMat-Bulk).

a b c (Å): 5.884 9.588 9.381
angles (deg): 58.04 71.72 72.13
Site moments in Bohr magnetons follow the coordinates.
Fractional coordinates of all 12 atoms:
La  0.693  0.768  0.846  0.00
Nd  0.724  0.396  0.156  0.00
Nd  0.078  0.579  0.264  0.00
La  0.565  0.282  0.588  0.00
Nd  0.276  0.604  0.844  0.00
Nd  0.832  0.934  0.402  0.00
La  0.435  0.718  0.412  0.00
Nd  0.500  0.000  0.000  0.03
Nd  0.922  0.421  0.736  0.00
La  0.307  0.232  0.154  0.00
Sc  0.000  0.000  0.000  0.05
Nd  0.168  0.066  0.598  0.00

## Properties
Electronic total energy ... -4.738 eV per atom